(1)
A relaxed PmLuNiPb crystal. Source: the Alexandria database, functional PBE-GGA.

Geometry as POSCAR:
```
PmLuNiPb
1.0
7.317 0.000 0.000
0.000 7.317 0.000
0.000 0.000 7.317
Pm Lu Ni Pb
4 4 4 4
direct
0.000 0.000 0.000 Pm
0.000 0.500 0.500 Pm
0.500 0.000 0.500 Pm
0.500 0.500 0.000 Pm
0.000 0.000 0.500 Lu
0.000 0.500 0.000 Lu
0.500 0.000 0.000 Lu
0.500 0.500 0.500 Lu
0.250 0.250 0.750 Ni
0.250 0.750 0.250 Ni
0.750 0.250 0.250 Ni
0.750 0.750 0.750 Ni
0.250 0.250 0.250 Pb
0.250 0.750 0.750 Pb
0.750 0.250 0.750 Pb
0.750 0.750 0.250 Pb
```

The energy of formation is -0.273 eV/atom. The value obtained for the total DFT energy (no corrections) is -4.96 eV per atom.

(2)
A relaxed SrLi2Cd6 crystal. Source: the Alexandria database, functional PBE-GGA.

Geometry as POSCAR:
```
SrLi2Cd6
1.0
-1.762 4.295 7.284
1.762 -4.295 7.284
1.762 4.295 -7.284
Sr Li Cd
1 2 6
direct
0.000 0.000 0.000 Sr
0.357 0.857 0.500 Li
0.643 0.143 0.500 Li
0.001 0.679 0.322 Cd
0.337 0.500 0.837 Cd
0.356 0.679 0.678 Cd
0.644 0.321 0.322 Cd
0.663 0.500 0.163 Cd
0.999 0.321 0.678 Cd
```

The energy of formation is -0.186 eV/atom. The relative energy among the computed polymorphs is 0 meV/atom. The value obtained for the total DFT energy (no corrections) is -1.41 eV per atom.

(3)
A relaxed CuRhBr6 crystal. Source: the Alexandria database, functional PBE-GGA.

Geometry as POSCAR:
```
CuRhBr6
1.0
7.036 0.000 0.000
0.000 10.693 0.000
-3.429 0.000 6.221
Cu Rh Br
2 2 12
direct
0.000 0.000 0.000 Cu
0.500 0.500 0.000 Cu
0.000 0.500 0.500 Rh
0.500 0.000 0.500 Rh
0.194 0.500 0.288 Br
0.233 0.156 0.246 Br
0.233 0.844 0.246 Br
0.267 0.344 0.754 Br
0.267 0.656 0.754 Br
0.306 0.000 0.712 Br
0.694 0.000 0.288 Br
0.733 0.344 0.246 Br
0.733 0.656 0.246 Br
0.767 0.156 0.754 Br
0.767 0.844 0.754 Br
0.806 0.500 0.712 Br
```

The value obtained for the total DFT energy (no corrections) is -2.93 eV per atom.

(4)
A relaxed TlInS2Cl crystal. Source: the Alexandria database, functional PBE-GGA.

Geometry as POSCAR:
```
TlInS2Cl
1.0
5.062 0.000 0.000
0.000 5.062 0.000
0.000 0.000 5.381
Tl In S Cl
1 1 2 1
direct
0.000 0.000 0.000 Tl
0.500 0.500 0.500 In
0.000 0.500 0.500 S
0.500 0.000 0.500 S
0.500 0.500 0.000 Cl
```

The relative energy among the computed polymorphs is 0 meV/atom. The value obtained for the total DFT energy (no corrections) is -3.34 eV per atom.

(5)
A relaxed Ag2SnSe2Cl2 crystal. Source: the Alexandria database, functional PBE-GGA.

Geometry as POSCAR:
```
Ag2SnSe2Cl2
1.0
14.283 0.000 0.000
0.000 3.739 0.000
-4.102 0.000 6.465
Ag Sn Se Cl
4 2 4 4
direct
0.126 0.000 0.203 Ag
0.374 0.500 0.797 Ag
0.626 0.500 0.203 Ag
0.874 0.000 0.797 Ag
0.000 0.000 0.500 Sn
0.500 0.500 0.500 Sn
0.008 0.500 0.772 Se
0.492 0.000 0.228 Se
0.508 0.000 0.772 Se
0.992 0.500 0.228 Se
0.223 0.000 0.714 Cl
0.277 0.500 0.286 Cl
0.723 0.500 0.714 Cl
0.777 0.000 0.286 Cl
```

The value obtained for the total DFT energy (no corrections) is -3.25 eV per atom.

(6)
A relaxed BaEr2F8 crystal. Source: the Alexandria database, functional PBE-GGA.

Geometry as POSCAR:
```
BaEr2F8
1.0
3.498 -5.273 0.000
3.498 5.273 0.000
-0.680 0.000 4.234
Ba Er F
1 2 8
direct
0.000 0.000 0.000 Ba
0.324 0.676 0.500 Er
0.676 0.324 0.500 Er
0.046 0.329 0.562 F
0.262 0.738 0.000 F
0.329 0.046 0.562 F
0.394 0.394 0.228 F
0.606 0.606 0.772 F
0.671 0.954 0.438 F
0.738 0.262 0.000 F
0.954 0.671 0.438 F
```

The value obtained for the total DFT energy (no corrections) is -6.48 eV per atom.

(7)
A relaxed Pm2Ho3Tm6Th crystal. Source: the Alexandria database, functional PBE-GGA.

Geometry as POSCAR:
```
Pm2Ho3Tm6Th
1.0
3.068 -5.308 0.000
3.068 5.308 0.000
-2.044 0.000 11.475
Pm Ho Tm Th
2 3 6 1
direct
0.167 0.833 0.000 Pm
0.833 0.167 0.000 Pm
0.000 0.000 0.500 Ho
0.333 0.667 0.500 Ho
0.667 0.333 0.500 Ho
0.086 0.415 0.749 Tm
0.255 0.255 0.251 Tm
0.415 0.086 0.749 Tm
0.585 0.914 0.251 Tm
0.745 0.745 0.749 Tm
0.914 0.585 0.251 Tm
0.500 0.500 0.000 Th
```

The energy of formation is 0.032 eV/atom. The value obtained for the total DFT energy (no corrections) is -4.76 eV per atom.

(8)
A relaxed HgGe2S crystal. Source: the Alexandria database, functional PBE-GGA.

Geometry as POSCAR:
```
HgGe2S
1.0
6.008 0.000 0.000
0.000 6.008 0.000
0.000 0.000 11.832
Hg Ge S
4 8 4
direct
0.000 0.000 0.000 Hg
0.000 0.500 0.250 Hg
0.500 0.000 0.750 Hg
0.500 0.500 0.500 Hg
0.231 0.250 0.625 Ge
0.250 0.731 0.875 Ge
0.250 0.769 0.375 Ge
0.269 0.250 0.125 Ge
0.731 0.750 0.125 Ge
0.750 0.231 0.375 Ge
0.750 0.269 0.875 Ge
0.769 0.750 0.625 Ge
0.000 0.000 0.500 S
0.000 0.500 0.750 S
0.500 0.000 0.250 S
0.500 0.500 0.000 S
```

The relative energy among the computed polymorphs is 0 meV/atom. The value obtained for the total DFT energy (no corrections) is -3.23 eV per atom.

(9)
A relaxed CaDyTlAu crystal. Source: the Alexandria database, functional PBE-GGA.

Geometry as POSCAR:
```
CaDyTlAu
1.0
7.433 0.000 0.000
0.000 7.433 0.000
0.000 0.000 7.433
Ca Dy Tl Au
4 4 4 4
direct
0.000 0.000 0.000 Ca
0.000 0.500 0.500 Ca
0.500 0.000 0.500 Ca
0.500 0.500 0.000 Ca
0.000 0.000 0.500 Dy
0.000 0.500 0.000 Dy
0.500 0.000 0.000 Dy
0.500 0.500 0.500 Dy
0.250 0.250 0.250 Tl
0.250 0.750 0.750 Tl
0.750 0.250 0.750 Tl
0.750 0.750 0.250 Tl
0.250 0.250 0.750 Au
0.250 0.750 0.250 Au
0.750 0.250 0.250 Au
0.750 0.750 0.750 Au
```

The energy of formation is -0.574 eV/atom. The relative energy among the computed polymorphs is 48 meV/atom. The value obtained for the total DFT energy (no corrections) is -3.64 eV per atom.

(10)
A relaxed DyLuBeRh crystal. Source: the Alexandria database, functional PBE-GGA.

Geometry as POSCAR:
```
DyLuBeRh
1.0
6.776 0.000 0.000
0.000 6.776 0.000
0.000 0.000 6.776
Dy Lu Be Rh
4 4 4 4
direct
0.000 0.000 0.000 Dy
0.000 0.500 0.500 Dy
0.500 0.000 0.500 Dy
0.500 0.500 0.000 Dy
0.000 0.000 0.500 Lu
0.000 0.500 0.000 Lu
0.500 0.000 0.000 Lu
0.500 0.500 0.500 Lu
0.250 0.250 0.750 Be
0.250 0.750 0.250 Be
0.750 0.250 0.250 Be
0.750 0.750 0.750 Be
0.250 0.250 0.250 Rh
0.250 0.750 0.750 Rh
0.750 0.250 0.750 Rh
0.750 0.750 0.250 Rh
```

The energy of formation is -0.417 eV/atom. The value obtained for the total DFT energy (no corrections) is -5.47 eV per atom.

(11)
A relaxed Ce4Ge3Ir crystal. Source: the Alexandria database, functional PBE-GGA.

Geometry as POSCAR:
```
Ce4Ge3Ir
1.0
4.163 0.000 0.000
0.000 4.220 0.000
0.000 0.000 10.928
Ce Ge Ir
4 3 1
direct
0.000 0.000 0.000 Ce
0.000 0.500 0.486 Ce
0.500 0.000 0.710 Ce
0.500 0.500 0.215 Ce
0.000 0.500 0.768 Ge
0.500 0.000 0.426 Ge
0.500 0.500 0.933 Ge
0.000 0.000 0.265 Ir
```

The energy of formation is -0.725 eV/atom. The value obtained for the total DFT energy (no corrections) is -6.53 eV per atom.

(12)
A relaxed Ba3TeS4 crystal. Source: the Alexandria database, functional PBE-GGA.

Geometry as POSCAR:
```
Ba3TeS4
1.0
10.429 0.000 0.000
0.000 9.701 0.000
0.000 0.000 6.274
Ba Te S
6 2 8
direct
0.000 0.119 0.000 Ba
0.231 0.347 0.493 Ba
0.269 0.653 0.993 Ba
0.500 0.881 0.500 Ba
0.731 0.653 0.993 Ba
0.769 0.347 0.493 Ba
0.000 0.696 0.448 Te
0.500 0.304 0.948 Te
0.000 0.163 0.499 S
0.000 0.787 0.082 S
0.239 0.327 0.992 S
0.261 0.673 0.492 S
0.500 0.213 0.582 S
0.500 0.837 0.999 S
0.739 0.673 0.492 S
0.761 0.327 0.992 S
```

The value obtained for the total DFT energy (no corrections) is -4.61 eV per atom.